(1)
As7W | Alexandria via LeMat-Bulk | GGA-PBE | optimized geometry; SG = No. 225; total DFT energy (no corrections) = -5.020 eV/atom; E_form = 0.67 eV/atom; crystal system = cubic; N(E_F) = 6.0 states/eV/f.u.
1.0
0.0000 4.1890 4.1890
4.1890 0.0000 4.1890
4.1890 4.1890 0.0000
As W
7 1
direct
0.5000 0.5000 0.5000
0.5000 0.5000 0.0000
0.5000 0.0000 0.5000
0.0000 0.5000 0.5000
0.0000 0.0000 0.5000
0.0000 0.5000 0.0000
0.5000 0.0000 0.0000
0.0000 0.0000 0.0000



(2)
AsW | Alexandria via LeMat-Bulk | GGA-PBE | optimized geometry; SG = No. 216; total DFT energy (no corrections) = -7.753 eV/atom; E_form = 1.05 eV/atom; crystal system = cubic; N(E_F) = 1.7 states/eV/f.u.
1.0
4.0447 0.0000 0.0000
2.0224 3.5028 0.0000
2.0224 1.1676 3.3025
As W
1 1
direct
0.0000 0.0000 0.0000
0.7500 0.7500 0.7500



(3)
As2W | Alexandria via LeMat-Bulk | GGA-PBE | optimized geometry; SG = No. 194; total DFT energy (no corrections) = -6.621 eV/atom; E_form = 0.80 eV/atom; crystal system = hexagonal; N(E_F) = 1.6 states/eV/f.u.
1.0
5.0018 0.0000 0.0000
-2.5009 4.3317 0.0000
0.0000 0.0000 10.6575
W As
4 8
direct
0.6667 0.3333 0.4556
0.6667 0.3333 0.0444
0.3333 0.6667 0.9556
0.3333 0.6667 0.5444
0.6720 0.8360 0.7500
0.0000 0.0000 0.5000
0.1640 0.8360 0.7500
0.8360 0.1640 0.2500
0.1640 0.3280 0.7500
0.0000 0.0000 0.0000
0.3280 0.1640 0.2500
0.8360 0.6720 0.2500



(4)
As3W | Alexandria via LeMat-Bulk | GGA-PBE | optimized geometry; SG = No. 71; total DFT energy (no corrections) = -6.312 eV/atom; E_form = 0.41 eV/atom; crystal system = orthorhombic; N(E_F) = 2.8 states/eV/f.u.
1.0
6.3934 0.1853 -0.2253
4.0993 4.9097 0.2253
-4.8410 -3.3823 2.4668
As W
3 1
direct
0.4324 0.4324 0.0000
0.7500 0.2500 0.5000
0.0676 0.0676 0.0000
0.2500 0.7500 0.5000



(5)
As5W | Alexandria via LeMat-Bulk | GGA-PBE | optimized geometry; SG = No. 8; total DFT energy (no corrections) = -5.884 eV/atom; E_form = 0.15 eV/atom; crystal system = monoclinic; N(E_F) = 1.3 states/eV/f.u.
1.0
1.6906 5.0132 0.1361
-1.6906 5.0132 0.1361
0.0000 0.8540 7.9302
As W
5 1
direct
0.0221 0.0221 0.0335
0.7065 0.7065 0.7127
0.2965 0.2965 0.2596
0.0590 0.0590 0.3325
0.3633 0.3633 0.7860
0.7194 0.7194 0.0423



(6)
AsW | Alexandria via LeMat-Bulk | GGA-PBE | optimized geometry; SG = No. 38; total DFT energy (no corrections) = -8.590 eV/atom; E_form = 0.21 eV/atom; crystal system = orthorhombic; N(E_F) = 0.8 states/eV/f.u.
1.0
-2.3788 -0.6317 2.2423
-5.2646 -6.8824 -7.5242
3.0617 -4.5054 1.9789
As W
6 6
direct
0.5000 0.1585 0.7724
0.5000 0.8415 0.7724
0.5000 0.6585 0.2724
0.0000 0.5000 0.6358
0.0000 0.0000 0.1358
0.5000 0.3415 0.2724
0.0000 0.1899 0.4267
0.0000 0.8101 0.4267
0.5000 0.5000 0.9680
0.5000 0.0000 0.4680
0.0000 0.3101 0.9267
0.0000 0.6899 0.9267



(7)
As3W2 | Alexandria via LeMat-Bulk | GGA-PBE | optimized geometry; SG = No. 11; total DFT energy (no corrections) = -8.011 eV/atom; E_form = -0.04 eV/atom; crystal system = monoclinic; N(E_F) = 1.9 states/eV/f.u.
1.0
-0.0857 -3.2637 -0.4848
4.8066 0.4849 -4.1143
2.8357 -1.4030 8.9434
As W
6 4
direct
0.7500 0.0776 0.2229
0.7500 0.6712 0.4474
0.2500 0.3288 0.5526
0.2500 0.9224 0.7771
0.7500 0.4908 0.8692
0.2500 0.5092 0.1308
0.2500 0.8215 0.0101
0.7500 0.1785 0.9899
0.7500 0.0952 0.6390
0.2500 0.9048 0.3610



(8)
As3W2 | Alexandria via LeMat-Bulk | GGA-PBE | optimized geometry; SG = No. 164; total DFT energy (no corrections) = -7.658 eV/atom; E_form = 0.31 eV/atom; crystal system = trigonal; N(E_F) = 3.1 states/eV/f.u.
1.0
-0.7958 3.9724 -1.6093
-2.7229 -1.7559 2.9165
2.9023 2.2207 4.0466
As W
3 2
direct
0.0000 0.0000 0.0000
0.3333 0.6667 0.3505
0.6667 0.3333 0.6495
0.3333 0.6667 0.8535
0.6667 0.3333 0.1465



no.,magnetic moment (Bohr magnetons per cell)
1,1.03
2,1.67
3,0.00
4,0.00
5,0.00
6,0.00
7,0.00
8,0.00